[1]
Entry from Alexandria via LeMat-Bulk: TiAgAs2Se at its PBEsol-relaxed geometry (meta-GGA SCAN).

Values from the calculation:
* crystal system: tetragonal
* distance to the lowest polymorph of the same formula: 0.00 eV/f.u.

abc: 4.8411 4.8411 4.7957
angles: 90.00 90.00 90.00
With the nearest neighbours (Å) after each atom.
Fractional coordinates of all 5 atoms:
Ti 0.0000 0.0000 0.0000  2 Se 2.40, 4 As 2.42
Ag 0.5000 0.5000 0.5000  8 As 3.41, 4 Se 3.42
As 0.0000 0.5000 0.0000  2 Ti 2.42
As 0.5000 0.0000 0.0000  2 Ti 2.42
Se 0.0000 0.0000 0.5000  2 Ti 2.40


[2]
Entry from Alexandria via LeMat-Bulk: LiFeCu2 at its PBEsol-relaxed geometry (meta-GGA SCAN).

Values from the calculation:
* crystal system: orthorhombic
* formation enthalpy at 0 K: 65 meV/atom

abc: 2.4396 4.2107 4.4472
angles: 90.00 90.00 90.00
With the nearest neighbours (Å) after each atom.
Fractional coordinates of all 4 atoms:
Cu 0.0000 0.5000 0.6990  4 Cu 2.44-2.61, 4 Fe 2.52, 4 Li 2.54
Cu 0.0000 0.0000 0.0472  4 Cu 2.44-2.61, 4 Fe 2.51-2.57, 4 Li 2.52
Fe 0.5000 0.0000 0.5549  2 Fe 2.44, 8 Cu 2.51-2.57, 2 Li 2.63
Li 0.5000 0.5000 0.1989  2 Li 2.44, 8 Cu 2.52-2.54, 2 Fe 2.63


[3]
Entry from Alexandria via LeMat-Bulk: ErAlB14 at its PBEsol-relaxed geometry (meta-GGA SCAN).

Values from the calculation:
* crystal system: orthorhombic
* formation enthalpy at 0 K: -195 meV/atom

abc: 5.8831 7.2419 7.2419
angles: 68.86 66.03 66.03
With the nearest neighbours (Å) after each atom.
Fractional coordinates of all 32 atoms:
B 0.6012 0.7240 0.3992  6 B 1.76-1.92
B 0.1012 0.8992 0.2240  6 B 1.76-1.92
B 0.8559 0.5188 0.7694  3 B 1.74-1.79
B 0.3559 0.2694 0.0188  3 B 1.74-1.79
B 0.0899 0.7425 0.0777  6 B 1.76-1.84
B 0.7756 0.8992 0.2240  6 B 1.76-1.92
B 0.9101 0.2575 0.9223  6 B 1.76-1.84
B 0.3329 0.7011 0.6331  6 B 1.72-1.84
B 0.3322 0.4680 0.3719  6 B 1.74-1.84
B 0.1721 0.5320 0.6281  6 B 1.74-1.84
B 0.6721 0.1281 0.0320  6 B 1.74-1.84
B 0.2756 0.7240 0.3992  6 B 1.76-1.92
B 0.6678 0.5320 0.6281  6 B 1.74-1.84
B 0.7244 0.2760 0.6008  6 B 1.76-1.92
B 0.2244 0.1008 0.7760  6 B 1.76-1.92
B 0.4101 0.4223 0.7575  6 B 1.76-1.84
B 0.8279 0.4680 0.3719  6 B 1.74-1.84
B 0.1441 0.4812 0.2306  3 B 1.74-1.79
B 0.1678 0.1281 0.0320  6 B 1.74-1.84
B 0.3988 0.2760 0.6008  6 B 1.76-1.92
B 0.1671 0.8669 0.7989  6 B 1.72-1.84
B 0.8322 0.8719 0.9680  6 B 1.74-1.84
B 0.8329 0.1331 0.2011  6 B 1.72-1.84
B 0.3279 0.8719 0.9680  6 B 1.74-1.84
B 0.5899 0.5777 0.2425  6 B 1.76-1.84
B 0.6671 0.2989 0.3669  6 B 1.72-1.84
B 0.8988 0.1008 0.7760  6 B 1.76-1.92
B 0.6441 0.7306 0.9812  3 B 1.74-1.79
Al 0.0000 0.5000 0.0000  8 B 2.10-2.32
Al 0.5000 0.5000 0.0000  8 B 2.10-2.32
Er 0.2500 0.0994 0.4006  12 B 2.51-2.79
Er 0.7500 0.9006 0.5994  12 B 2.51-2.79


[4]
Entry from Alexandria via LeMat-Bulk: Mn2CdMoP at its PBEsol-relaxed geometry (meta-GGA SCAN).

Values from the calculation:
* crystal system: tetragonal
* formation enthalpy at 0 K: 1386 meV/atom

abc: 4.4122 4.4122 5.2058
angles: 90.00 90.00 90.00
With the nearest neighbours (Å) after each atom.
Fractional coordinates of all 5 atoms:
Mo 0.0000 0.0000 0.0000  4 Mn 2.21
Mn 0.5000 0.0000 0.0000  2 Mo 2.21
Mn 0.0000 0.5000 0.0000  2 Mo 2.21
P 0.5000 0.5000 0.5000  4 Cd 3.12, 8 Mn 3.41
Cd 0.0000 0.0000 0.5000  2 Mo 2.60


[5]
Entry from Alexandria via LeMat-Bulk: TiAg3Se at its PBEsol-relaxed geometry (meta-GGA SCAN).

Values from the calculation:
* crystal system: cubic

abc: 4.8625 4.8625 4.8625
angles: 90.00 90.00 90.00
With the nearest neighbours (Å) after each atom.
Fractional coordinates of all 5 atoms:
Ag 0.0000 0.0000 0.5000  2 Se 2.43
Ag 0.0000 0.5000 0.0000  2 Se 2.43
Ag 0.5000 0.0000 0.0000  2 Se 2.43
Se 0.0000 0.0000 0.0000  6 Ag 2.43
Ti 0.5000 0.5000 0.5000  12 Ag 3.44


[6]
Entry from Alexandria via LeMat-Bulk: DyMgB5O10 at its PBEsol-relaxed geometry (meta-GGA SCAN).

Values from the calculation:
* crystal system: monoclinic

abc: 7.5840 8.4837 9.3724
angles: 86.06 90.00 90.00
With the nearest neighbours (Å) after each atom.
Fractional coordinates of all 68 atoms:
Dy 0.3136 0.3161 0.7400  7 O 2.25-2.51
Dy 0.6864 0.6839 0.2600  7 O 2.25-2.51
Dy 0.8136 0.1839 0.7600  7 O 2.25-2.51
Dy 0.1864 0.8161 0.2400  7 O 2.25-2.51
O 0.9668 0.6875 0.6242  2 B 1.37-1.49
O 0.9722 0.0839 0.1484  2 B 1.49-1.50
O 0.4081 0.0092 0.3001  2 B 1.38-1.46
O 0.0538 0.2532 0.6289  1 B 1.35
O 0.3501 0.8197 0.6366  2 B 1.46-1.47
O 0.4668 0.8125 0.8758  2 B 1.37-1.49
O 0.6499 0.1803 0.3634  2 B 1.46-1.47
O 0.2305 0.4530 0.5223  2 B 1.40-1.46
O 0.0332 0.3125 0.3758  2 B 1.37-1.49
O 0.6267 0.8200 0.5091  2 B 1.37-1.50
O 0.3733 0.1800 0.4909  2 B 1.37-1.50
O 0.8733 0.3200 0.0091  2 B 1.37-1.50
O 0.4722 0.4161 0.3516  2 B 1.49-1.50
O 0.8914 0.8215 0.0817  2 B 1.47-1.48
O 0.1086 0.1785 0.9183  2 B 1.47-1.48
O 0.9081 0.4908 0.1999  2 B 1.38-1.46
O 0.3506 0.4922 0.9261  1 B 1.37
O 0.3914 0.6785 0.4183  2 B 1.47-1.48
O 0.6086 0.3215 0.5817  2 B 1.47-1.48
O 0.4462 0.7532 0.1289  1 B 1.35
O 0.8506 0.0078 0.5739  1 B 1.37
O 0.7068 0.9622 0.2281  2 B 1.47-1.48
O 0.1267 0.6800 0.9909  2 B 1.37-1.50
O 0.5538 0.2468 0.8711  1 B 1.35
O 0.5919 0.9908 0.6999  2 B 1.38-1.46
O 0.2932 0.0378 0.7719  2 B 1.47-1.48
O 0.6494 0.5078 0.0739  1 B 1.37
O 0.7932 0.4622 0.7281  2 B 1.47-1.48
O 0.5278 0.5839 0.6484  2 B 1.49-1.50
O 0.9462 0.7468 0.3711  1 B 1.35
O 0.7695 0.5470 0.4777  2 B 1.40-1.46
O 0.8501 0.6803 0.8634  2 B 1.46-1.47
O 0.0919 0.5092 0.8001  2 B 1.38-1.46
O 0.2695 0.9530 0.0223  2 B 1.40-1.46
O 0.1499 0.3197 0.1366  2 B 1.46-1.47
O 0.5332 0.1875 0.1242  2 B 1.37-1.49
O 0.1494 0.9922 0.4261  1 B 1.37
O 0.2068 0.5378 0.2719  2 B 1.47-1.48
O 0.0278 0.9161 0.8516  2 B 1.49-1.50
O 0.7305 0.0470 0.9777  2 B 1.40-1.46
B 0.3263 0.5189 0.3967  4 O 1.46-1.49
B 0.6892 0.9360 0.5897  3 O 1.37-1.38
B 0.6020 0.1625 0.9924  3 O 1.35-1.40
B 0.0319 0.2241 0.0553  4 O 1.46-1.50
B 0.4255 0.9164 0.7451  4 O 1.46-1.49
B 0.9255 0.5836 0.7549  4 O 1.46-1.49
B 0.1892 0.5640 0.9103  3 O 1.37-1.38
B 0.0745 0.4164 0.2451  4 O 1.46-1.49
B 0.9681 0.7759 0.9447  4 O 1.46-1.50
B 0.1020 0.3375 0.5076  3 O 1.35-1.40
B 0.6737 0.4811 0.6033  4 O 1.46-1.49
B 0.5319 0.2759 0.4447  4 O 1.46-1.50
B 0.4681 0.7241 0.5553  4 O 1.46-1.50
B 0.8108 0.4360 0.0897  3 O 1.37-1.38
B 0.8980 0.6625 0.4924  3 O 1.35-1.40
B 0.8263 0.9811 0.1033  4 O 1.46-1.49
B 0.5745 0.0836 0.2549  4 O 1.46-1.49
B 0.3980 0.8375 0.0076  3 O 1.35-1.40
B 0.3108 0.0640 0.4103  3 O 1.37-1.38
B 0.1737 0.0189 0.8967  4 O 1.46-1.49
Mg 0.9074 0.0975 0.3706  5 O 2.05-2.15
Mg 0.4074 0.4025 0.1294  5 O 2.05-2.15
Mg 0.5926 0.5975 0.8706  5 O 2.05-2.15
Mg 0.0926 0.9025 0.6294  5 O 2.05-2.15


[7]
Entry from Alexandria via LeMat-Bulk: Y2TaMo at its PBEsol-relaxed geometry (meta-GGA SCAN).

Values from the calculation:
* crystal system: orthorhombic
* formation enthalpy at 0 K: 215 meV/atom

abc: 3.4842 5.0975 5.9202
angles: 115.50 107.11 90.00
With the nearest neighbours (Å) after each atom.
Fractional coordinates of all 4 atoms:
Y 0.7714 0.2714 0.5429  2 Mo 3.14, 4 Ta 3.15, 6 Y 3.32-3.48
Y 0.9919 0.9919 0.9838  4 Mo 3.11, 4 Y 3.32-3.38, 4 Ta 3.35-3.36
Ta 0.2071 0.7071 0.4142  2 Mo 2.50
Mo 0.5296 0.5296 0.0591  2 Ta 2.50


[8]
Entry from Alexandria via LeMat-Bulk: Y2TlCr at its PBEsol-relaxed geometry (meta-GGA SCAN).

Values from the calculation:
* crystal system: tetragonal
* formation enthalpy at 0 K: -14 meV/atom
* distance to the lowest polymorph of the same formula: 1.06 eV/f.u.

abc: 3.4447 3.4447 8.2128
angles: 90.00 90.00 90.00
With the nearest neighbours (Å) after each atom.
Fractional coordinates of all 4 atoms:
Tl 0.5000 0.5000 0.7101  4 Cr 2.88
Y 0.0000 0.0000 0.9720  4 Tl 3.25, 8 Y 3.44-3.60
Y 0.5000 0.5000 0.2945  4 Cr 3.08, 1 Tl 3.41, 4 Y 3.44
Cr 0.0000 0.0000 0.5234  4 Tl 2.88, 4 Y 3.08


| no. | density (g/cm³) | total energy (eV/atom) | N(E_F) (states/eV per atom) |
| --- | --- | --- | --- |
| 1 | 5.7 | -21.440 | 0.72 |
| 2 | 6.9 | -12.665 | 0.47 |
| 3 | 4.6 | -10.326 | 0.10 |
| 4 | 5.7 | -21.056 | 0.82 |
| 5 | 6.5 | -25.258 | 0.70 |
| 6 | 4.4 | -11.906 | 0.00 |
| 7 | 8.4 | -39.074 | 0.88 |
| 8 | 7.4 | -36.622 | 0.69 |